This record from the Alexandria database describes Mg2CuSi after structural relaxation. The functional is PBE.

Computed properties:
Total energy = -13.1 eV/cell
Total magnetic moment = 0.0 μB/cell
Formation energy without anion corrections = -0.102 eV/atom

Lattice parameters (Å, degrees): 3.295 4.101 5.292 90.00 108.07 90.00
Space group Pm (No. 6)
One atom of each set of equivalent atoms:
Mg  0.000  0.000  0.000 x1
Mg  0.319  0.500  0.641 x1
Cu  0.725  0.000  0.450 x1
Si  0.596  0.500  0.193 x1